--- i ---
Here is a relaxed VCu3O crystal from the Alexandria database. Energies are from PBE with a Hubbard U.

```
data_VCu3O
_space_group_name_H-M_alt 'P 1'
_space_group_IT_number 1
_cell_length_a 4.053
_cell_length_b 4.053
_cell_length_c 4.053
_cell_angle_alpha 90.00
_cell_angle_beta 90.00
_cell_angle_gamma 90.00
loop_
_space_group_symop_operation_xyz
'x,y,z'
loop_
_atom_site_label
_atom_site_type_symbol
_atom_site_fract_x
_atom_site_fract_y
_atom_site_fract_z
Cu1 Cu 0.000 0.000 0.500
Cu2 Cu 0.500 0.000 0.000
Cu3 Cu 0.000 0.500 0.000
V1 V 0.500 0.500 0.500
O1 O 0.000 0.000 0.000
```

SG: No. 221
V: 13.315 Å³ per atom


--- ii ---
Here is a relaxed VCu3O crystal from the Alexandria database. Energies are from PBE with a Hubbard U.

```
data_VCu3O
_space_group_name_H-M_alt 'P 1'
_space_group_IT_number 1
_cell_length_a 4.613
_cell_length_b 4.613
_cell_length_c 4.613
_cell_angle_alpha 90.00
_cell_angle_beta 90.00
_cell_angle_gamma 90.00
loop_
_space_group_symop_operation_xyz
'x,y,z'
loop_
_atom_site_label
_atom_site_type_symbol
_atom_site_fract_x
_atom_site_fract_y
_atom_site_fract_z
Cu1 Cu 0.000 0.500 0.000
Cu2 Cu 0.500 0.000 0.000
Cu3 Cu 0.000 0.000 0.500
O1 O 0.500 0.500 0.500
V1 V 0.000 0.000 0.000
```

SG: No. 221
V: 19.633 Å³ per atom


Result of the stability comparison: ii is the least stable of them.


--- i ---
Here is a relaxed CuWO2 crystal from the Alexandria database. Energies are from PBE with a Hubbard U.

```
data_CuWO2
_space_group_name_H-M_alt 'P 1'
_space_group_IT_number 1
_cell_length_a 6.424
_cell_length_b 6.424
_cell_length_c 6.424
_cell_angle_alpha 26.92
_cell_angle_beta 26.92
_cell_angle_gamma 26.92
loop_
_space_group_symop_operation_xyz
'x,y,z'
loop_
_atom_site_label
_atom_site_type_symbol
_atom_site_fract_x
_atom_site_fract_y
_atom_site_fract_z
O1 O 0.102 0.102 0.102
O2 O 0.898 0.898 0.898
Cu1 Cu 0.500 0.500 0.500
W1 W 0.000 0.000 0.000
```

SG: No. 166
V: 11.982 Å³ per atom


--- ii ---
Here is a relaxed CuWO2 crystal from the Alexandria database. Energies are from PBE with a Hubbard U.

```
data_CuWO2
_space_group_name_H-M_alt 'P 1'
_space_group_IT_number 1
_cell_length_a 6.761
_cell_length_b 6.761
_cell_length_c 6.761
_cell_angle_alpha 23.96
_cell_angle_beta 23.96
_cell_angle_gamma 23.96
loop_
_space_group_symop_operation_xyz
'x,y,z'
loop_
_atom_site_label
_atom_site_type_symbol
_atom_site_fract_x
_atom_site_fract_y
_atom_site_fract_z
Cu1 Cu 0.000 0.000 0.000
O1 O 0.095 0.095 0.095
O2 O 0.905 0.905 0.905
W1 W 0.500 0.500 0.500
```

SG: No. 166
V: 11.195 Å³ per atom


--- iii ---
Here is a relaxed CuWO2 crystal from the Alexandria database. Energies are from PBE with a Hubbard U.

```
data_CuWO2
_space_group_name_H-M_alt 'P 1'
_space_group_IT_number 1
_cell_length_a 4.193
_cell_length_b 4.193
_cell_length_c 6.734
_cell_angle_alpha 71.86
_cell_angle_beta 71.86
_cell_angle_gamma 90.00
loop_
_space_group_symop_operation_xyz
'x,y,z'
loop_
_atom_site_label
_atom_site_type_symbol
_atom_site_fract_x
_atom_site_fract_y
_atom_site_fract_z
O1 O 0.645 0.125 0.250
O2 O 0.105 0.625 0.250
O3 O 0.375 0.355 0.750
O4 O 0.875 0.895 0.750
Cu1 Cu 0.500 0.500 0.000
Cu2 Cu 0.250 0.750 0.500
W1 W 0.750 0.250 0.500
W2 W 0.000 0.000 0.000
```

SG: No. 122
V: 13.288 Å³ per atom


--- iv ---
Here is a relaxed CuWO2 crystal from the Alexandria database. Energies are from PBE with a Hubbard U.

```
data_CuWO2
_space_group_name_H-M_alt 'P 1'
_space_group_IT_number 1
_cell_length_a 3.856
_cell_length_b 3.856
_cell_length_c 3.856
_cell_angle_alpha 60.00
_cell_angle_beta 60.00
_cell_angle_gamma 60.00
loop_
_space_group_symop_operation_xyz
'x,y,z'
loop_
_atom_site_label
_atom_site_type_symbol
_atom_site_fract_x
_atom_site_fract_y
_atom_site_fract_z
O1 O 0.250 0.250 0.250
O2 O 0.750 0.750 0.750
Cu1 Cu 0.000 0.000 0.000
W1 W 0.500 0.500 0.500
```

SG: No. 225
V: 10.136 Å³ per atom


Result of the stability comparison: iv is the least stable of them.


--- i ---
Here is a relaxed Cu2WO4 crystal from the Alexandria database. Energies are from PBE with a Hubbard U.

```
data_Cu2WO4
_space_group_name_H-M_alt 'P 1'
_space_group_IT_number 1
_cell_length_a 7.388
_cell_length_b 8.094
_cell_length_c 7.754
_cell_angle_alpha 96.23
_cell_angle_beta 105.05
_cell_angle_gamma 103.25
loop_
_space_group_symop_operation_xyz
'x,y,z'
loop_
_atom_site_label
_atom_site_type_symbol
_atom_site_fract_x
_atom_site_fract_y
_atom_site_fract_z
O1 O 0.588 0.915 0.878
O2 O 0.851 0.053 0.230
O3 O 0.173 0.313 0.438
O4 O 0.387 0.298 0.831
O5 O 0.613 0.702 0.169
O6 O 0.877 0.423 0.160
O7 O 0.739 0.629 0.867
O8 O 0.123 0.577 0.840
O9 O 0.020 0.856 0.048
O10 O 0.261 0.371 0.133
O11 O 0.149 0.947 0.770
O12 O 0.661 0.240 0.586
O13 O 0.980 0.144 0.952
O14 O 0.412 0.085 0.122
O15 O 0.339 0.760 0.414
O16 O 0.827 0.687 0.562
Cu1 Cu 0.596 0.750 0.487
Cu2 Cu 0.368 0.932 0.280
Cu3 Cu 0.337 0.616 0.058
Cu4 Cu 0.404 0.250 0.513
Cu5 Cu 0.663 0.384 0.942
Cu6 Cu 0.261 0.876 0.587
Cu7 Cu 0.632 0.068 0.720
Cu8 Cu 0.739 0.124 0.413
W1 W 0.252 0.167 0.955
W2 W 0.748 0.833 0.045
W3 W 0.023 0.275 0.204
W4 W 0.977 0.725 0.796
```

SG: No. 2
V: 15.315 Å³ per atom


--- ii ---
Here is a relaxed Cu2WO4 crystal from the Alexandria database. Energies are from PBE with a Hubbard U.

```
data_Cu2WO4
_space_group_name_H-M_alt 'P 1'
_space_group_IT_number 1
_cell_length_a 5.932
_cell_length_b 8.195
_cell_length_c 8.258
_cell_angle_alpha 109.20
_cell_angle_beta 94.85
_cell_angle_gamma 91.50
loop_
_space_group_symop_operation_xyz
'x,y,z'
loop_
_atom_site_label
_atom_site_type_symbol
_atom_site_fract_x
_atom_site_fract_y
_atom_site_fract_z
Cu1 Cu 0.864 0.762 0.168
Cu2 Cu 0.118 0.352 0.543
Cu3 Cu 0.136 0.238 0.832
Cu4 Cu 0.000 0.000 0.000
Cu5 Cu 0.882 0.648 0.457
Cu6 Cu 0.229 0.713 0.907
Cu7 Cu 0.771 0.287 0.093
Cu8 Cu 0.000 0.000 0.500
W1 W 0.486 0.069 0.320
W2 W 0.641 0.352 0.719
W3 W 0.514 0.931 0.680
W4 W 0.359 0.648 0.281
O1 O 0.431 0.172 0.786
O2 O 0.141 0.669 0.105
O3 O 0.506 0.466 0.168
O4 O 0.569 0.828 0.214
O5 O 0.289 0.830 0.756
O6 O 0.589 0.719 0.497
O7 O 0.758 0.937 0.830
O8 O 0.711 0.170 0.244
O9 O 0.859 0.331 0.895
O10 O 0.242 0.063 0.170
O11 O 0.153 0.557 0.387
O12 O 0.411 0.281 0.503
O13 O 0.296 0.925 0.451
O14 O 0.704 0.075 0.549
O15 O 0.494 0.534 0.832
O16 O 0.847 0.443 0.613
```

SG: No. 2
V: 13.470 Å³ per atom


Result of the stability comparison: i is the least stable of them.


--- i ---
Here is a relaxed Cu2WO4 crystal from the Alexandria database. Energies are from PBE with a Hubbard U.

```
data_Cu2WO4
_space_group_name_H-M_alt 'P 1'
_space_group_IT_number 1
_cell_length_a 5.707
_cell_length_b 11.724
_cell_length_c 8.626
_cell_angle_alpha 74.18
_cell_angle_beta 103.04
_cell_angle_gamma 122.96
loop_
_space_group_symop_operation_xyz
'x,y,z'
loop_
_atom_site_label
_atom_site_type_symbol
_atom_site_fract_x
_atom_site_fract_y
_atom_site_fract_z
W1 W 0.494 0.733 0.056
W2 W 0.243 0.927 0.220
W3 W 0.506 0.267 0.944
W4 W 0.757 0.073 0.780
O1 O 0.570 0.503 0.660
O2 O 0.430 0.497 0.340
O3 O 0.252 0.889 0.438
O4 O 0.397 0.351 0.730
O5 O 0.748 0.111 0.562
O6 O 0.426 0.341 0.084
O7 O 0.329 0.821 0.153
O8 O 0.894 0.894 0.130
O9 O 0.671 0.179 0.847
O10 O 0.603 0.649 0.270
O11 O 0.505 0.890 0.847
O12 O 0.106 0.106 0.870
O13 O 0.907 0.458 0.353
O14 O 0.574 0.659 0.916
O15 O 0.495 0.110 0.153
O16 O 0.093 0.542 0.647
Cu1 Cu 0.882 0.472 0.122
Cu2 Cu 0.777 0.594 0.860
Cu3 Cu 0.185 0.723 0.568
Cu4 Cu 0.815 0.277 0.432
Cu5 Cu 0.223 0.406 0.140
Cu6 Cu 0.256 0.510 0.503
Cu7 Cu 0.744 0.490 0.497
Cu8 Cu 0.118 0.528 0.878
```

SG: No. 2
V: 16.564 Å³ per atom


--- ii ---
Here is a relaxed Cu2WO4 crystal from the Alexandria database. Energies are from PBE with a Hubbard U.

```
data_Cu2WO4
_space_group_name_H-M_alt 'P 1'
_space_group_IT_number 1
_cell_length_a 8.935
_cell_length_b 6.202
_cell_length_c 9.249
_cell_angle_alpha 100.15
_cell_angle_beta 118.09
_cell_angle_gamma 104.58
loop_
_space_group_symop_operation_xyz
'x,y,z'
loop_
_atom_site_label
_atom_site_type_symbol
_atom_site_fract_x
_atom_site_fract_y
_atom_site_fract_z
Cu1 Cu 0.637 0.453 0.195
Cu2 Cu 0.112 0.916 0.445
Cu3 Cu 0.594 0.179 0.393
Cu4 Cu 0.281 0.819 0.283
Cu5 Cu 0.406 0.821 0.607
Cu6 Cu 0.719 0.181 0.717
Cu7 Cu 0.363 0.547 0.805
Cu8 Cu 0.888 0.084 0.555
O1 O 0.031 0.271 0.051
O2 O 0.969 0.729 0.949
O3 O 0.860 0.954 0.132
O4 O 0.270 0.273 0.328
O5 O 0.817 0.348 0.608
O6 O 0.421 0.496 0.140
O7 O 0.929 0.790 0.531
O8 O 0.830 0.379 0.221
O9 O 0.140 0.046 0.868
O10 O 0.373 0.999 0.178
O11 O 0.071 0.210 0.469
O12 O 0.579 0.504 0.860
O13 O 0.627 0.001 0.822
O14 O 0.183 0.652 0.392
O15 O 0.170 0.621 0.779
O16 O 0.730 0.727 0.672
W1 W 0.027 0.298 0.275
W2 W 0.973 0.702 0.725
W3 W 0.743 0.781 0.891
W4 W 0.257 0.219 0.109
```

SG: No. 2
V: 14.668 Å³ per atom


--- iii ---
Here is a relaxed Cu2WO4 crystal from the Alexandria database. Energies are from PBE with a Hubbard U.

```
data_Cu2WO4
_space_group_name_H-M_alt 'P 1'
_space_group_IT_number 1
_cell_length_a 5.809
_cell_length_b 8.421
_cell_length_c 8.997
_cell_angle_alpha 114.59
_cell_angle_beta 91.98
_cell_angle_gamma 96.75
loop_
_space_group_symop_operation_xyz
'x,y,z'
loop_
_atom_site_label
_atom_site_type_symbol
_atom_site_fract_x
_atom_site_fract_y
_atom_site_fract_z
O1 O 0.765 0.926 0.204
O2 O 0.630 0.666 0.317
O3 O 0.176 0.024 0.084
O4 O 0.552 0.954 0.602
O5 O 0.370 0.334 0.683
O6 O 0.079 0.685 0.793
O7 O 0.026 0.856 0.484
O8 O 0.331 0.362 0.091
O9 O 0.096 0.699 0.111
O10 O 0.669 0.638 0.909
O11 O 0.904 0.301 0.889
O12 O 0.974 0.144 0.516
O13 O 0.448 0.046 0.398
O14 O 0.921 0.315 0.207
O15 O 0.235 0.074 0.796
O16 O 0.824 0.976 0.916
Cu1 Cu 0.386 0.673 0.840
Cu2 Cu 0.483 0.006 0.144
Cu3 Cu 0.345 0.635 0.197
Cu4 Cu 0.517 0.994 0.856
Cu5 Cu 0.614 0.327 0.160
Cu6 Cu 0.655 0.365 0.803
Cu7 Cu 0.047 0.734 0.614
Cu8 Cu 0.953 0.266 0.386
W1 W 0.723 0.904 0.413
W2 W 0.277 0.096 0.587
W3 W 0.946 0.798 0.999
W4 W 0.054 0.202 0.001
```

SG: No. 2
V: 14.133 Å³ per atom


Result of the stability comparison: i is the least stable of them.


--- i ---
Here is a relaxed Cu3WO crystal from the Alexandria database. Energies are from PBE with a Hubbard U.

```
data_Cu3WO
_space_group_name_H-M_alt 'P 1'
_space_group_IT_number 1
_cell_length_a 4.093
_cell_length_b 4.093
_cell_length_c 4.093
_cell_angle_alpha 90.00
_cell_angle_beta 90.00
_cell_angle_gamma 90.00
loop_
_space_group_symop_operation_xyz
'x,y,z'
loop_
_atom_site_label
_atom_site_type_symbol
_atom_site_fract_x
_atom_site_fract_y
_atom_site_fract_z
Cu1 Cu 0.500 0.000 0.000
Cu2 Cu 0.000 0.500 0.000
Cu3 Cu 0.000 0.000 0.500
O1 O 0.000 0.000 0.000
W1 W 0.500 0.500 0.500
```

SG: No. 221
V: 13.715 Å³ per atom


--- ii ---
Here is a relaxed Cu3WO crystal from the Alexandria database. Energies are from PBE with a Hubbard U.

```
data_Cu3WO
_space_group_name_H-M_alt 'P 1'
_space_group_IT_number 1
_cell_length_a 4.759
_cell_length_b 4.759
_cell_length_c 4.759
_cell_angle_alpha 90.00
_cell_angle_beta 90.00
_cell_angle_gamma 90.00
loop_
_space_group_symop_operation_xyz
'x,y,z'
loop_
_atom_site_label
_atom_site_type_symbol
_atom_site_fract_x
_atom_site_fract_y
_atom_site_fract_z
Cu1 Cu 0.000 0.500 0.000
Cu2 Cu 0.500 0.000 0.000
Cu3 Cu 0.000 0.000 0.500
O1 O 0.500 0.500 0.500
W1 W 0.000 0.000 0.000
```

SG: No. 221
V: 21.550 Å³ per atom


Result of the stability comparison: ii is the least stable of them.


--- i ---
Here is a relaxed Y2Cu3W6O24 crystal from the Alexandria database. Energies are from PBE with a Hubbard U.

```
data_Y2Cu3W6O24
_space_group_name_H-M_alt 'P 1'
_space_group_IT_number 1
_cell_length_a 5.975
_cell_length_b 9.837
_cell_length_c 15.247
_cell_angle_alpha 93.58
_cell_angle_beta 90.00
_cell_angle_gamma 90.00
loop_
_space_group_symop_operation_xyz
'x,y,z'
loop_
_atom_site_label
_atom_site_type_symbol
_atom_site_fract_x
_atom_site_fract_y
_atom_site_fract_z
W1 W 0.833 0.001 0.085
W2 W 0.159 0.517 0.253
W3 W 0.841 0.017 0.753
W4 W 0.822 0.505 0.084
W5 W 0.841 0.483 0.747
W6 W 0.833 0.499 0.415
W7 W 0.822 0.995 0.416
W8 W 0.178 0.005 0.584
W9 W 0.167 0.999 0.915
W10 W 0.159 0.983 0.247
W11 W 0.178 0.495 0.916
W12 W 0.167 0.501 0.585
O1 O 0.351 0.638 0.972
O2 O 0.114 0.101 0.817
O3 O 0.892 0.101 0.313
O4 O 0.618 0.611 0.467
O5 O 0.334 0.641 0.312
O6 O 0.655 0.141 0.140
O7 O 0.345 0.859 0.860
O8 O 0.109 0.397 0.352
O9 O 0.911 0.109 0.982
O10 O 0.603 0.884 0.379
O11 O 0.892 0.399 0.187
O12 O 0.886 0.601 0.317
O13 O 0.911 0.391 0.518
O14 O 0.334 0.859 0.188
O15 O 0.351 0.862 0.528
O16 O 0.649 0.138 0.472
O17 O 0.112 0.399 0.020
O18 O 0.365 0.394 0.206
O19 O 0.886 0.899 0.183
O20 O 0.112 0.101 0.480
O21 O 0.345 0.641 0.640
O22 O 0.888 0.601 0.980
O23 O 0.888 0.899 0.520
O24 O 0.089 0.891 0.018
O25 O 0.397 0.384 0.879
O26 O 0.649 0.362 0.028
O27 O 0.086 0.609 0.147
O28 O 0.108 0.601 0.813
O29 O 0.603 0.616 0.121
O30 O 0.914 0.391 0.853
O31 O 0.382 0.389 0.533
O32 O 0.365 0.106 0.294
O33 O 0.635 0.894 0.706
O34 O 0.382 0.111 0.967
O35 O 0.891 0.897 0.852
O36 O 0.089 0.609 0.482
O37 O 0.635 0.606 0.794
O38 O 0.618 0.889 0.033
O39 O 0.114 0.399 0.683
O40 O 0.397 0.116 0.621
O41 O 0.891 0.603 0.648
O42 O 0.655 0.359 0.360
O43 O 0.666 0.141 0.812
O44 O 0.086 0.891 0.353
O45 O 0.109 0.103 0.148
O46 O 0.914 0.109 0.647
O47 O 0.666 0.359 0.688
O48 O 0.108 0.899 0.687
Cu1 Cu 0.684 0.255 0.917
Cu2 Cu 0.735 0.250 0.250
Cu3 Cu 0.684 0.245 0.583
Cu4 Cu 0.316 0.745 0.083
Cu5 Cu 0.265 0.750 0.750
Cu6 Cu 0.316 0.755 0.417
Y1 Y 0.335 0.248 0.412
Y2 Y 0.665 0.748 0.912
Y3 Y 0.335 0.252 0.088
Y4 Y 0.665 0.752 0.588
```

SG: No. 13
V: 12.777 Å³ per atom


--- ii ---
Here is a relaxed Y2Cu3W6O24 crystal from the Alexandria database. Energies are from PBE with a Hubbard U.

```
data_Y2Cu3W6O24
_space_group_name_H-M_alt 'P 1'
_space_group_IT_number 1
_cell_length_a 6.070
_cell_length_b 6.164
_cell_length_c 13.787
_cell_angle_alpha 99.72
_cell_angle_beta 91.09
_cell_angle_gamma 109.29
loop_
_space_group_symop_operation_xyz
'x,y,z'
loop_
_atom_site_label
_atom_site_type_symbol
_atom_site_fract_x
_atom_site_fract_y
_atom_site_fract_z
O1 O 0.106 0.215 0.661
O2 O 0.773 0.067 0.496
O3 O 0.689 0.668 0.016
O4 O 0.532 0.462 0.177
O5 O 0.026 0.659 0.682
O6 O 0.468 0.538 0.823
O7 O 0.345 0.690 0.345
O8 O 0.974 0.341 0.318
O9 O 0.187 0.477 0.508
O10 O 0.655 0.310 0.655
O11 O 0.452 0.073 0.826
O12 O 0.871 0.953 0.812
O13 O 0.260 0.757 0.990
O14 O 0.129 0.047 0.188
O15 O 0.740 0.243 0.010
O16 O 0.227 0.933 0.504
O17 O 0.813 0.523 0.492
O18 O 0.548 0.927 0.174
O19 O 0.854 0.497 0.846
O20 O 0.436 0.277 0.357
O21 O 0.146 0.503 0.154
O22 O 0.894 0.785 0.339
O23 O 0.564 0.723 0.643
O24 O 0.311 0.332 0.984
W1 W 0.737 0.668 0.748
W2 W 0.581 0.336 0.921
W3 W 0.419 0.664 0.079
W4 W 0.065 0.675 0.413
W5 W 0.263 0.332 0.252
W6 W 0.935 0.325 0.587
Y1 Y 0.343 0.984 0.665
Y2 Y 0.657 0.016 0.335
Cu1 Cu 0.180 0.574 0.858
Cu2 Cu 0.820 0.426 0.142
Cu3 Cu 0.500 0.500 0.500
```

SG: No. 2
V: 13.667 Å³ per atom


Result of the stability comparison: ii is the least stable of them.